Material: BaCd2GaAg
Method: DFT, PBE-GGA
State: optimized geometry

Lattice parameters (Å, degrees): 4.9365 4.9472 10.9384 90.00 90.00 90.00
With the nearest neighbours (Å) after each atom.
Space group Imm2 (No. 44)
Inequivalent atoms, fractional coordinates:
Ba  0.0000  0.0000  0.0000 [2 per cell]  4 Ag 3.58-3.80, 8 Cd 3.63-3.74, 4 Ga 3.78
Cd  0.0000  0.0000  0.3825 [2 per cell]  1 Ga 2.73, 2 Cd 2.91, 2 Ag 2.94
Cd  0.0000  0.5000  0.2432 [2 per cell]  2 Ga 2.75, 2 Cd 2.91
Ga  0.0000  0.0000  0.6322 [2 per cell]  2 Ag 2.72, 3 Cd 2.73-2.75
Ag  0.0000  0.5000  0.7365 [2 per cell]  2 Ga 2.72, 2 Cd 2.94

- energy relative to the lowest polymorph listed for this composition (kJ/mol of atoms) = 0.00
- total moment (μB/atom) = 0.000
- ΔH_f (0 K) (meV per atom) = -272.7